Material: Cs3AcNd2Se6
Method: DFT, PBE
State: optimized geometry

Cell and atoms, written as POSCAR:
```
Cs3AcNd2Se6
1.0
7.7671 -0.0008 0.0001
-3.8824 6.7272 0.0001
-1.2956 -2.2433 8.4189
Nd Se Cs Ac
2 6 3 1
Direct
0.6668 0.3332 0.0000
0.3332 0.6668 0.0000
0.0642 0.4085 0.1924
0.9358 0.5915 0.8076
0.4085 0.0642 0.1924
0.5915 0.9358 0.8076
0.2803 0.2803 0.8082
0.7197 0.7197 0.1918
0.8347 0.1653 0.5000
0.5000 0.5000 0.5000
0.1653 0.8347 0.5000
0.0000 0.0000 0.0000
```

Output
density: 5.2 g/cm³
D(E_F): 0.0 states/eV/f.u.
electronic total energy: -58.13 eV for the cell shown
SG: C2/m
E_form (uncorrected): -169.0 kJ per mole of atoms